(1)
# Th2Zn15Co2

Th2Zn15Co2 after structural relaxation (GGA-PBE, Alexandria).

a = 6.7728 Å, b = 6.7728 Å, c = 6.7728 Å
α = 83.04°, β = 83.04°, γ = 83.04°
Last column: nearest neighbours and their distance in Å.
Atoms (fractional coordinates):
Th (0.3345, 0.3345, 0.3345)  1 Co 3.09, 15 Zn 3.25-3.40
Th (0.6655, 0.6655, 0.6655)  1 Co 3.09, 15 Zn 3.25-3.40
Zn (0.5000, 0.0000, 0.0000)  8 Zn 2.55-2.60, 2 Co 2.74
Zn (0.0000, 0.0000, 0.5000)  8 Zn 2.55-2.60, 2 Co 2.74
Zn (0.0000, 0.5000, 0.0000)  8 Zn 2.55-2.60, 2 Co 2.74
Zn (0.0000, 0.7196, 0.2804)  8 Zn 2.52-2.80
Zn (0.7196, 0.2804, 0.0000)  8 Zn 2.52-2.80
Zn (0.2804, 0.0000, 0.7196)  8 Zn 2.52-2.80
Zn (0.2804, 0.7196, 0.0000)  8 Zn 2.52-2.80
Zn (0.7196, 0.0000, 0.2804)  8 Zn 2.52-2.80
Zn (0.0000, 0.2804, 0.7196)  8 Zn 2.52-2.80
Zn (0.1525, 0.6514, 0.6514)  8 Zn 2.60-2.80, 1 Co 2.82
Zn (0.6514, 0.6514, 0.1525)  8 Zn 2.60-2.80, 1 Co 2.82
Zn (0.6514, 0.1525, 0.6514)  8 Zn 2.60-2.80, 1 Co 2.82
Zn (0.8475, 0.3486, 0.3486)  8 Zn 2.60-2.80, 1 Co 2.82
Zn (0.3486, 0.3486, 0.8475)  8 Zn 2.60-2.80, 1 Co 2.82
Zn (0.3486, 0.8475, 0.3486)  8 Zn 2.60-2.80, 1 Co 2.82
Co (0.0983, 0.0983, 0.0983)  1 Co 2.57, 12 Zn 2.74-2.83
Co (0.9017, 0.9017, 0.9017)  1 Co 2.57, 12 Zn 2.74-2.83

Properties
- Density of states at the Fermi level: 8.95 states/eV/cell
- Electronic total energy: -2.709 eV/atom

***

(2)
# Th4ZnCo2

Th4ZnCo2 after structural relaxation (GGA-PBE, Alexandria).

a = 8.0927 Å, b = 8.0925 Å, c = 7.1929 Å
α = 107.39°, β = 107.38°, γ = 117.96°
Last column: nearest neighbours and their distance in Å.
Atoms (fractional coordinates):
Th (0.9769, 0.2415, 0.3884)  2 Co 2.64-2.89
Th (0.4014, 0.5274, 0.2655)  1 Co 2.57
Th (0.8533, 0.5884, 0.6116)  2 Co 2.64-2.89
Th (0.7774, 0.1514, 0.7655)  1 Co 2.57
Th (0.3859, 0.0120, 0.2346)  1 Co 2.57
Th (0.2620, 0.1358, 0.7346)  1 Co 2.57
Th (0.4914, 0.7268, 0.8883)  2 Co 2.64-2.89
Th (0.8384, 0.6032, 0.1116)  2 Co 2.64-2.89
Zn (0.2515, 0.7514, 0.4997)  8 Th 3.01-3.31
Zn (0.0015, 0.0015, 0.9998)  8 Th 3.01-3.31
Co (0.4877, 0.3808, 0.6133)  2 Th 2.57-2.64
Co (0.7675, 0.8744, 0.3869)  2 Th 2.57-2.64
Co (0.6308, 0.2374, 0.1131)  2 Th 2.57-2.64
Co (0.1244, 0.5177, 0.8871)  2 Th 2.57-2.64

Properties
- Density of states at the Fermi level: 12.69 states/eV/cell
- Electronic total energy: -6.631 eV/atom

***

(3)
# ThZnCo

ThZnCo after structural relaxation (GGA-PBE, Alexandria).

a = 4.0929 Å, b = 5.0851 Å, c = 6.9834 Å
α = 120.72°, β = 87.67°, γ = 70.84°
Last column: nearest neighbours and their distance in Å.
Atoms (fractional coordinates):
Th (0.4518, 0.4522, 0.2189)  3 Co 2.63-2.93
Th (0.2743, 0.7172, 0.8509)  3 Co 2.63-2.93
Zn (0.0244, 0.2166, 0.4587)  3 Co 2.54-2.69, 1 Zn 2.68
Zn (0.7016, 0.9528, 0.6111)  3 Co 2.54-2.69, 1 Zn 2.68
Co (0.6635, 0.8967, 0.2087)  3 Zn 2.54-2.69, 2 Th 2.63-2.70, 1 Co 2.65
Co (0.0627, 0.2726, 0.8610)  3 Zn 2.54-2.69, 2 Th 2.63-2.70, 1 Co 2.65

Properties
- Density of states at the Fermi level: 4.53 states/eV/cell
- Electronic total energy: -5.576 eV/atom

***

(4)
# Th4ZnCo

Th4ZnCo after structural relaxation (GGA-PBE, Alexandria).

a = 5.9989 Å, b = 7.8634 Å, c = 8.1637 Å
α = 112.81°, β = 104.13°, γ = 104.83°
Last column: nearest neighbours and their distance in Å.
Atoms (fractional coordinates):
Th (0.3412, 0.9277, 0.6220)  2 Co 3.03-3.28, 2 Zn 3.11-3.19, 1 Th 3.37
Th (0.9684, 0.7887, 0.1383)  2 Co 2.74-2.82
Th (0.2192, 0.3057, 0.3780)  2 Co 3.03-3.28, 2 Zn 3.11-3.19, 1 Th 3.37
Th (0.3301, 0.6504, 0.8617)  2 Co 2.74-2.82
Th (0.6588, 0.0723, 0.3780)  2 Co 3.03-3.28, 2 Zn 3.11-3.19, 1 Th 3.37
Th (0.7808, 0.6943, 0.6220)  2 Co 3.03-3.28, 2 Zn 3.11-3.19, 1 Th 3.37
Th (0.0316, 0.2113, 0.8617)  2 Co 2.74-2.82
Th (0.6699, 0.3496, 0.1383)  2 Co 2.74-2.82
Zn (0.3711, 0.6211, 0.2423)  8 Th 3.11-3.19
Zn (0.6289, 0.3789, 0.7577)  8 Th 3.11-3.19
Co (0.7369, 0.9869, 0.9739)  6 Th 2.74-3.03, 2 Co 3.02
Co (0.2631, 0.0131, 0.0261)  6 Th 2.74-3.03, 2 Co 3.02

Properties
- Density of states at the Fermi level: 14.51 states/eV/cell
- Electronic total energy: -6.434 eV/atom

***

(5)
# ThZn4Co

ThZn4Co after structural relaxation (GGA-PBE, Alexandria).

a = 4.1439 Å, b = 6.6166 Å, c = 7.5623 Å
α = 90.00°, β = 90.00°, γ = 90.00°
Last column: nearest neighbours and their distance in Å.
Atoms (fractional coordinates):
Th (0.0000, 0.5944, 0.7500)  1 Co 2.42
Th (0.0000, 0.4056, 0.2500)  1 Co 2.42
Zn (0.0000, 0.0000, 0.5000)  2 Co 2.42
Zn (0.0000, 0.0000, 0.0000)  2 Co 2.42
Zn (0.5000, 0.9614, 0.7500)  8 Zn 2.64-2.84, 2 Co 2.72
Zn (0.5000, 0.0386, 0.2500)  8 Zn 2.64-2.84, 2 Co 2.72
Zn (0.5000, 0.7093, 0.0538)  2 Co 2.58, 5 Zn 2.64-2.89
Zn (0.5000, 0.2907, 0.9462)  2 Co 2.58, 5 Zn 2.64-2.89
Zn (0.5000, 0.7093, 0.4462)  2 Co 2.58, 5 Zn 2.64-2.89
Zn (0.5000, 0.2907, 0.5538)  2 Co 2.58, 5 Zn 2.64-2.89
Co (0.0000, 0.2288, 0.7500)  1 Th 2.42, 6 Zn 2.42-2.58
Co (0.0000, 0.7712, 0.2500)  1 Th 2.42, 6 Zn 2.42-2.58

Properties
- Density of states at the Fermi level: 7.95 states/eV/cell
- Electronic total energy: -3.490 eV/atom

***

(6)
# ThZn3Co

ThZn3Co after structural relaxation (GGA-PBE, Alexandria).

a = 4.8719 Å, b = 6.2994 Å, c = 5.7826 Å
α = 90.00°, β = 99.96°, γ = 90.00°
Last column: nearest neighbours and their distance in Å.
Atoms (fractional coordinates):
Th (0.6869, 0.9476, 0.9386)  2 Co 2.50-2.61
Th (0.3474, 0.4476, 0.6220)  2 Co 2.50-2.61
Zn (0.7133, 0.4476, 0.1562)  1 Co 2.54, 6 Zn 2.58-2.79
Zn (0.3210, 0.9476, 0.4044)  1 Co 2.54, 6 Zn 2.58-2.79
Zn (0.8374, 0.1518, 0.4653)  2 Co 2.50-2.65, 4 Zn 2.57-2.79
Zn (0.8374, 0.7434, 0.4653)  2 Co 2.50-2.65, 4 Zn 2.57-2.79
Zn (0.1969, 0.6518, 0.0953)  2 Co 2.50-2.65, 4 Zn 2.57-2.79
Zn (0.1969, 0.2434, 0.0953)  2 Co 2.50-2.65, 4 Zn 2.57-2.79
Co (0.8633, 0.4476, 0.7562)  5 Zn 2.50-2.65, 2 Th 2.50-2.61
Co (0.1710, 0.9476, 0.8044)  5 Zn 2.50-2.65, 2 Th 2.50-2.61

Properties
- Density of states at the Fermi level: 5.10 states/eV/cell
- Electronic total energy: -3.942 eV/atom

***

(7)
# ThZn6Co6

ThZn6Co6 after structural relaxation (GGA-PBE, Alexandria).

a = 4.9045 Å, b = 6.5590 Å, c = 6.5590 Å
α = 81.67°, β = 68.05°, γ = 68.05°
Last column: nearest neighbours and their distance in Å.
Atoms (fractional coordinates):
Th (0.0000, 0.0000, 0.0000)  8 Zn 2.97-3.07, 12 Co 3.14-3.28
Zn (0.3547, 0.6453, 0.6453)  3 Zn 2.51-2.74, 6 Co 2.63-2.64
Zn (0.6453, 0.3547, 0.3547)  3 Zn 2.51-2.74, 6 Co 2.63-2.64
Zn (0.0000, 0.3468, 0.6532)  6 Co 2.62-2.65, 3 Zn 2.63-2.80
Zn (0.0000, 0.6532, 0.3468)  6 Co 2.62-2.65, 3 Zn 2.63-2.80
Zn (0.2861, 0.2139, 0.2139)  6 Co 2.49-2.70, 2 Zn 2.74
Zn (0.7139, 0.7861, 0.7861)  6 Co 2.49-2.70, 2 Zn 2.74
Co (0.0000, 0.5000, 0.0000)  4 Co 2.45-2.49, 6 Zn 2.49-2.63
Co (0.5000, 0.5000, 0.0000)  4 Co 2.45-2.49, 6 Zn 2.49-2.63
Co (0.0000, 0.0000, 0.5000)  4 Co 2.45-2.49, 6 Zn 2.49-2.63
Co (0.5000, 0.0000, 0.5000)  4 Co 2.45-2.49, 6 Zn 2.49-2.63
Co (0.5000, 0.7707, 0.2293)  4 Co 2.49, 6 Zn 2.64-2.70
Co (0.5000, 0.2293, 0.7707)  4 Co 2.49, 6 Zn 2.64-2.70

Properties
- Density of states at the Fermi level: 11.25 states/eV/cell
- Electronic total energy: -4.547 eV/atom

***

(8)
# Th2Zn5Co4

Th2Zn5Co4 after structural relaxation (GGA-PBE, Alexandria).

a = 5.3777 Å, b = 6.5949 Å, c = 6.5803 Å
α = 64.29°, β = 65.88°, γ = 65.94°
Last column: nearest neighbours and their distance in Å.
Atoms (fractional coordinates):
Th (0.2757, 0.7920, 0.6565)  2 Co 2.52-2.58
Th (0.7243, 0.2080, 0.3435)  2 Co 2.52-2.58
Zn (0.2192, 0.2308, 0.8484)  4 Co 2.44-2.60, 2 Zn 2.59-2.60
Zn (0.7808, 0.7692, 0.1516)  4 Co 2.44-2.60, 2 Zn 2.59-2.60
Zn (0.0000, 0.5000, 0.5000)  4 Zn 2.60, 2 Co 2.66
Zn (0.7016, 0.2308, 0.8484)  4 Co 2.44-2.60, 2 Zn 2.59-2.60
Zn (0.2984, 0.7692, 0.1516)  4 Co 2.44-2.60, 2 Zn 2.59-2.60
Co (0.3409, 0.0743, 0.2440)  1 Co 2.30, 2 Zn 2.45, 1 Th 2.52
Co (0.6591, 0.9257, 0.7560)  1 Co 2.30, 2 Zn 2.45, 1 Th 2.52
Co (0.7698, 0.5256, 0.9348)  1 Co 2.30, 2 Zn 2.44
Co (0.2302, 0.4744, 0.0652)  1 Co 2.30, 2 Zn 2.44

Properties
- Density of states at the Fermi level: 10.17 states/eV/cell
- Electronic total energy: -4.678 eV/atom

***

(9)
# Th2Zn2Co15

Th2Zn2Co15 after structural relaxation (GGA-PBE, Alexandria).

a = 6.3487 Å, b = 6.3487 Å, c = 6.3487 Å
α = 83.06°, β = 83.06°, γ = 83.06°
Last column: nearest neighbours and their distance in Å.
Atoms (fractional coordinates):
Th (0.3488, 0.3488, 0.3488)  15 Co 2.95-3.19, 1 Zn 3.04
Th (0.6512, 0.6512, 0.6512)  15 Co 2.95-3.19, 1 Zn 3.04
Zn (0.1008, 0.1008, 0.1008)  1 Zn 2.47, 12 Co 2.56-2.71
Zn (0.8992, 0.8992, 0.8992)  1 Zn 2.47, 12 Co 2.56-2.71
Co (0.5000, 0.0000, 0.0000)  8 Co 2.40-2.43, 2 Zn 2.56
Co (0.0000, 0.0000, 0.5000)  8 Co 2.40-2.43, 2 Zn 2.56
Co (0.0000, 0.5000, 0.0000)  8 Co 2.40-2.43, 2 Zn 2.56
Co (0.0000, 0.7128, 0.2872)  8 Co 2.40-2.57
Co (0.7128, 0.2872, 0.0000)  8 Co 2.40-2.57
Co (0.2872, 0.0000, 0.7128)  8 Co 2.40-2.57
Co (0.2872, 0.7128, 0.0000)  8 Co 2.40-2.57
Co (0.7128, 0.0000, 0.2872)  8 Co 2.40-2.57
Co (0.0000, 0.2872, 0.7128)  8 Co 2.40-2.57
Co (0.1493, 0.6508, 0.6508)  8 Co 2.43-2.57, 1 Zn 2.62
Co (0.6508, 0.6508, 0.1493)  8 Co 2.43-2.57, 1 Zn 2.62
Co (0.6508, 0.1493, 0.6508)  8 Co 2.43-2.57, 1 Zn 2.62
Co (0.8507, 0.3492, 0.3492)  8 Co 2.43-2.57, 1 Zn 2.62
Co (0.3492, 0.3492, 0.8507)  8 Co 2.43-2.57, 1 Zn 2.62
Co (0.3492, 0.8507, 0.3492)  8 Co 2.43-2.57, 1 Zn 2.62

Properties
- Density of states at the Fermi level: 24.69 states/eV/cell
- Electronic total energy: -6.635 eV/atom

***

(10)
# Th3Zn9Co2

Th3Zn9Co2 after structural relaxation (GGA-PBE, Alexandria).

a = 4.4957 Å, b = 7.9303 Å, c = 7.9303 Å
α = 72.53°, β = 73.53°, γ = 73.53°
Last column: nearest neighbours and their distance in Å.
Atoms (fractional coordinates):
Th (0.0000, 0.0000, 0.0000)  12 Zn 3.05-3.17
Th (0.6953, 0.3047, 0.3047)  2 Co 2.75
Th (0.3047, 0.6953, 0.6953)  2 Co 2.75
Zn (0.0000, 0.5000, 0.5000)  4 Zn 2.54, 4 Co 2.68
Zn (0.6482, 0.9967, 0.7070)  1 Co 2.58, 4 Zn 2.61-2.79
Zn (0.3518, 0.0033, 0.2930)  1 Co 2.58, 4 Zn 2.61-2.79
Zn (0.6482, 0.7070, 0.9967)  1 Co 2.58, 4 Zn 2.61-2.79
Zn (0.3518, 0.2930, 0.0033)  1 Co 2.58, 4 Zn 2.61-2.79
Zn (0.8744, 0.8432, 0.4081)  4 Zn 2.54-2.79, 2 Co 2.77
Zn (0.1256, 0.1568, 0.5919)  4 Zn 2.54-2.79, 2 Co 2.77
Zn (0.8744, 0.4081, 0.8432)  4 Zn 2.54-2.79, 2 Co 2.77
Zn (0.1256, 0.5919, 0.1568)  4 Zn 2.54-2.79, 2 Co 2.77
Co (0.5000, 0.3449, 0.6551)  8 Zn 2.58-2.77, 2 Th 2.75
Co (0.5000, 0.6551, 0.3449)  8 Zn 2.58-2.77, 2 Th 2.75

Properties
- Density of states at the Fermi level: 9.88 states/eV/cell
- Electronic total energy: -3.656 eV/atom

***

(11)
# Th7Zn2Co2

Th7Zn2Co2 after structural relaxation (GGA-PBE, Alexandria).

a = 6.7891 Å, b = 6.8732 Å, c = 6.7891 Å
α = 90.00°, β = 109.88°, γ = 90.00°
Last column: nearest neighbours and their distance in Å.
Atoms (fractional coordinates):
Th (0.9998, 0.2612, 0.5003)  2 Co 2.66
Th (0.5003, 0.7388, 0.9998)  2 Co 2.66
Th (0.0002, 0.7388, 0.4997)  2 Co 2.66
Th (0.4997, 0.2612, 0.0002)  2 Co 2.66
Th (0.0000, 0.0000, 0.0000)  2 Co 3.00
Th (0.5002, 0.7574, 0.4998)  2 Co 3.05-3.06, 2 Zn 3.19, 5 Th 3.34-3.40
Th (0.4998, 0.2426, 0.5002)  2 Co 3.05-3.06, 2 Zn 3.19, 5 Th 3.34-3.40
Zn (0.8398, 0.5000, 0.8398)  1 Zn 2.50
Zn (0.1602, 0.5000, 0.1602)  1 Zn 2.50
Co (0.7302, 0.0000, 0.2698)  4 Th 2.66
Co (0.2698, 0.0000, 0.7302)  4 Th 2.66

Properties
- Density of states at the Fermi level: 11.53 states/eV/cell
- Electronic total energy: -6.268 eV/atom

***

Looking at calculated volume for the records above, in order, we have 304 339 114 317 207 175 182 184 251 252 298 Å³ per cell.